No. 1
# CrSb2Pt PBE-GGA relaxed
data_CrSb2Pt
_cell_length_a 6.925
_cell_length_b 6.925
_cell_length_c 6.925
_cell_angle_alpha 90.00
_cell_angle_beta 90.00
_cell_angle_gamma 90.00
_symmetry_space_group_name_H-M 'F -4 3 m'
_symmetry_Int_Tables_number 216
_symmetry_space_group_name_Hall 'F -4 2 3'
loop_
_atom_site_label
_atom_site_fract_x
_atom_site_fract_y
_atom_site_fract_z
Cr1 0.000 0.000 0.000
Sb1 0.000 0.000 0.500
Sb2 0.250 0.250 0.750
Pt1 0.250 0.250 0.250
# formation energy (no corrections) = 0.342 eV/atom

No. 2
# TiNb6Mo2 PBE-GGA relaxed
data_TiNb6Mo2
_cell_length_a 10.369
_cell_length_b 3.268
_cell_length_c 9.851
_cell_angle_alpha 90.00
_cell_angle_beta 109.47
_cell_angle_gamma 90.00
_symmetry_space_group_name_H-M 'C 1 2/m 1'
_symmetry_Int_Tables_number 12
loop_
_symmetry_equiv_pos_as_xyz
'x,y,z'
'-x,-y,-z'
'-x,y,-z'
'x,-y,z'
'x+1/2,y+1/2,z'
'-x+1/2,-y+1/2,-z'
'-x+1/2,y+1/2,-z'
'x+1/2,-y+1/2,z'
loop_
_atom_site_label
_atom_site_fract_x
_atom_site_fract_y
_atom_site_fract_z
Ti1 0.000 0.000 0.000
Nb1 0.003 0.000 0.327
Nb2 0.170 0.500 0.562
Nb3 0.176 0.500 0.887
Mo1 0.163 0.500 0.222
# E_form = -0.071 eV per atom

No. 3
# CsGeSe2 PBE-GGA relaxed
data_CsGeSe2
_cell_length_a 6.245
_cell_length_b 7.554
_cell_length_c 7.640
_cell_angle_alpha 110.26
_cell_angle_beta 105.59
_cell_angle_gamma 105.31
_symmetry_space_group_name_H-M 'P 1'
_symmetry_Int_Tables_number 1
loop_
_symmetry_equiv_pos_as_xyz
'x,y,z'
loop_
_atom_site_label
_atom_site_fract_x
_atom_site_fract_y
_atom_site_fract_z
Cs1 0.000 0.000 0.000
Cs2 0.011 0.371 0.638
Ge1 0.466 0.858 0.492
Ge2 0.664 0.579 0.212
Se1 0.057 0.840 0.476
Se2 0.468 0.502 0.429
Se3 0.471 0.804 0.143
Se4 0.611 0.301 0.929
# formation energy (no corrections) = -0.721 eV/atom

No. 4
# CaHfTl3 PBE-GGA relaxed
data_CaHfTl3
_cell_length_a 5.578
_cell_length_b 5.578
_cell_length_c 5.578
_cell_angle_alpha 90.00
_cell_angle_beta 90.00
_cell_angle_gamma 90.00
_symmetry_space_group_name_H-M 'P m -3 m'
_symmetry_Int_Tables_number 221
_symmetry_space_group_name_Hall '-P 4 2 3'
loop_
_atom_site_label
_atom_site_fract_x
_atom_site_fract_y
_atom_site_fract_z
Ca1 0.000 0.000 0.000
Hf1 0.500 0.500 0.500
Tl1 0.000 0.500 0.500
# E_form = 0.262 eV per atom

No. 5
# Ni2PdRu PBE-GGA relaxed
data_Ni2PdRu
_cell_length_a 2.6757
_cell_length_b 2.6757
_cell_length_c 25.0829
_cell_angle_alpha 90.00
_cell_angle_beta 90.00
_cell_angle_gamma 120.00
_symmetry_space_group_name_H-M 'R 3 m'
_symmetry_Int_Tables_number 160
_symmetry_space_group_name_Hall 'R 3 -2"'
loop_
_atom_site_label
_atom_site_fract_x
_atom_site_fract_y
_atom_site_fract_z
Ni1 0.0000 0.0000 0.0000
Ni2 0.0000 0.0000 0.1601
Pd1 0.0000 0.0000 0.5801
Ru1 0.0000 0.0000 0.4132
# E_form = 0.101 eV per atom

No. 6
# TmZr2Pd9 PBE-GGA relaxed
data_TmZr2Pd9
_cell_length_a 4.051
_cell_length_b 4.051
_cell_length_c 12.167
_cell_angle_alpha 90.00
_cell_angle_beta 90.00
_cell_angle_gamma 90.00
_symmetry_space_group_name_H-M 'P 4/m m m'
_symmetry_Int_Tables_number 123
_symmetry_space_group_name_Hall '-P 4 2'
loop_
_atom_site_label
_atom_site_fract_x
_atom_site_fract_y
_atom_site_fract_z
Tm1 0.000 0.000 0.000
Zr1 0.000 0.000 0.332
Pd1 0.000 0.500 0.172
Pd2 0.000 0.500 0.500
Pd3 0.500 0.500 0.000
Pd4 0.500 0.500 0.336
# E_form = -0.872 eV per atom

no.,V (Å³/cell)
1,332
2,315
3,299
4,174
5,156
6,200